# 1
VASP calculation (PBE-GGA) on a geometry-optimized RbGa2Pb4 structure.

Cell: 5.183 16.260 5.259 Å, 90.00 90.00 90.00°
Space group Cmmm (No. 65)
Unique sites:
1 Rb 0.000 0.000 0.000 [2 per cell]
2 Ga 0.000 0.420 0.500 [4 per cell]
3 Pb 0.000 0.179 0.500 [4 per cell]
4 Pb 0.000 0.317 0.000 [4 per cell]

- theoretical density (g cm⁻³) = 7.9
- formation energy (meV/atom) = -17
- VASP energy (eV/atom) = -3.139



# 2
VASP calculation (PBE-GGA) on a geometry-optimized LaThPdRh structure.

Cell: 4.238 3.950 11.699 Å, 90.00 90.00 90.00°
Space group Amm2 (No. 38)
Unique sites:
1 La 0.000 0.000 0.000 [2 per cell]
2 Th 0.500 0.000 0.727 [2 per cell]
3 Pd 0.500 0.000 0.446 [2 per cell]
4 Rh 0.000 0.000 0.257 [2 per cell]

- theoretical density (g cm⁻³) = 9.8
- energy above the lowest structure with this stoichiometry (meV per atom) = 0
- formation energy (meV/atom) = -851
- VASP energy (eV/atom) = -7.074



# 3
VASP calculation (PBE-GGA) on a geometry-optimized AsSe3 structure.

Cell: 4.067 7.192 7.141 Å, 90.00 90.00 90.00°
Space group Imm2 (No. 44)
Unique sites:
1 As 0.000 0.000 0.000 [2 per cell]
2 Se 0.000 0.244 0.238 [4 per cell]
3 Se 0.000 0.500 0.011 [2 per cell]

- theoretical density (g cm⁻³) = 5.0
- formation energy from raw total energies (eV per formula unit) = 0.6
- energy above the lowest structure with this stoichiometry (meV per atom) = 75
- VASP energy (eV/atom) = -3.630



# 4
VASP calculation (PBE-GGA) on a geometry-optimized Ba3IrBr structure.

Cell: 6.411 22.828 6.303 Å, 90.00 90.00 90.00°
Space group Cmcm (No. 63)
Unique sites:
1 Ba 0.000 0.060 0.250 [4 per cell]
2 Ba 0.000 0.205 0.750 [4 per cell]
3 Ba 0.000 0.421 0.250 [4 per cell]
4 Ir 0.000 0.082 0.750 [4 per cell]
5 Br 0.000 0.260 0.250 [4 per cell]

- theoretical density (g cm⁻³) = 4.9
- formation energy from raw total energies (eV per formula unit) = -3.6
- energy above the lowest structure with this stoichiometry (meV per atom) = 0
- VASP energy (eV/atom) = -3.976